The following is a meta-GGA SCAN calculation of a PBEsol-optimized structure of As2CF, from Alexandria via LeMat-Bulk.

The calculation puts the formation energy (no corrections) at 0.394 eV/atom. The value obtained for the magnetization is 0.000 μB per atom.

The space group is I-42d (No. 122) and the conventional cell measures 5.535, 5.535 and 8.345 Å, with angles of 90.00, 90.00 and 90.00 degrees. The asymmetric unit holds As at (0.195, 0.750, 0.125), C at (0.000, 0.000, 0.000) and F at (0.000, 0.000, 0.500).